The following is a PBE-GGA calculation of a geometry-optimized CaZn2Sb structure, from Alexandria via LeMat-Bulk.

**Uncorrected energy**: -2.293 eV/atom
**Space-group type**: No. 12
**Formation energy (no corrections)**: -126 meV/atom

Lattice parameters (Å, degrees): 5.205 6.331 3.323 74.83 89.90 114.24
Atoms (fractional coordinates):
Sb 0.500 0.500 0.000
Zn 0.000 0.000 0.000
Zn 0.500 0.000 0.500
Ca 0.000 0.500 0.500